Entry 1:
LaCoGe4: optimized geometry, PBE.

Unit cell a=4.5607 b=17.6863 c=5.8452 alpha=90.00 beta=90.00 gamma=90.00
With the nearest neighbours (Å) after each atom.
Space group Cmcm (No. 63)
Symmetry-distinct sites (fractional):
1 La 0.0000 0.0975 0.2500 x4  6 Ge 2.99-3.21
2 Co 0.0000 0.3946 0.2500 x4  6 Ge 2.33-2.46
3 Ge 0.0000 0.1337 0.7500 x4  2 Co 2.33
4 Ge 0.0000 0.2866 0.5158 x8  1 Co 2.46, 3 Ge 2.63-2.74
5 Ge 0.0000 0.5000 0.0000 x4  2 Co 2.37

Values from the calculation:
- Calculated total energy: -5.38 eV/atom
- E_form: -28.9 kJ/mol of atoms
- Mass density: 6.9 g/cm³
- Volume: 471 Å³/cell

Entry 2:
La2CoGe: optimized geometry, PBE.

Unit cell a=7.8492 b=7.8492 c=6.3428 alpha=90.00 beta=90.00 gamma=90.00
With the nearest neighbours (Å) after each atom.
Space group I-42d (No. 122)
Symmetry-distinct sites (fractional):
1 La 0.1955 0.2500 0.1250 x8  2 Co 2.61
2 Co 0.0000 0.0000 0.0000 x4  4 La 2.61
3 Ge 0.0000 0.0000 0.5000 x4  2 Co 3.17, 8 La 3.19-3.44

Values from the calculation:
- Calculated total energy: -5.54 eV/atom
- E_form: -14.0 kJ/mol of atoms
- Mass density: 7.0 g/cm³
- Volume: 391 Å³/cell

Entry 3:
La2Co2Ge: optimized geometry, PBE.

Unit cell a=5.5064 b=5.5064 c=7.2055 alpha=90.00 beta=90.00 gamma=90.00
With the nearest neighbours (Å) after each atom.
Space group I4/mmm (No. 139)
Symmetry-distinct sites (fractional):
1 La 0.0000 0.5000 0.2500 x4  4 Co 2.81
2 Co 0.0000 0.0000 0.1737 x4  1 Ge 2.35, 1 Co 2.50
3 Ge 0.0000 0.0000 0.5000 x2  2 Co 2.35

Values from the calculation:
- Calculated total energy: -5.93 eV/atom
- E_form: -18.2 kJ/mol of atoms
- Mass density: 7.1 g/cm³
- Volume: 218 Å³/cell